<w>
First-principles (GGA-PBE) data for a geometry-optimized SrTl4As2 structure, as listed in the Alexandria database.

## Properties
* SG: I4/mmm
* DOS at the Fermi energy: 2.4 states/eV/f.u.
* ρ: 5.901 g/cm3

a = 6.3406 Å, b = 6.3406 Å, c = 8.6390 Å
α = 68.47°, β = 68.47°, γ = 90.00°
Last column: nearest neighbours and their distance in Å.
Fractional coordinates of all 7 atoms:
Sr: 0.0000 0.0000 0.0000  6 Tl 3.17-3.44
Tl: 0.7668 0.7668 0.4664  1 As 2.72
Tl: 0.2332 0.2332 0.5336  1 As 2.72
Tl: 0.0000 0.5000 0.0000  2 Sr 3.17, 4 As 3.40
Tl: 0.5000 0.0000 0.0000  2 Sr 3.17, 4 As 3.40
As: 0.5828 0.5828 0.8344  1 As 2.45, 1 Tl 2.72
As: 0.4172 0.4172 0.1656  1 As 2.45, 1 Tl 2.72

=====

<x>
First-principles (GGA-PBE) data for a geometry-optimized SrTl4As2 structure, as listed in the Alexandria database.

## Properties
* SG: Cmmm
* DOS at the Fermi energy: 2.1 states/eV/f.u.
* ρ: 8.264 g/cm3

a = 4.5598 Å, b = 4.5826 Å, c = 10.4010 Å
α = 102.73°, β = 90.00°, γ = 90.00°
Last column: nearest neighbours and their distance in Å.
Fractional coordinates of all 7 atoms:
Sr: 0.0000 0.0000 0.0000  8 As 3.47
Tl: 0.5000 0.8291 0.6582  2 As 3.18, 4 Tl 3.23
Tl: 0.0000 0.6694 0.3389  2 As 3.15, 4 Tl 3.23
Tl: 0.5000 0.1709 0.3418  2 As 3.18, 4 Tl 3.23
Tl: 0.0000 0.3306 0.6611  2 As 3.15, 4 Tl 3.23
As: 0.5000 0.5626 0.1251  1 As 2.54
As: 0.5000 0.4374 0.8749  1 As 2.54

=====

Most stable to least stable, the ends of the list are <x> and <w>.

=====

<w>
First-principles (GGA-PBE) data for a geometry-optimized SrTmAs2 structure, as listed in the Alexandria database.

## Properties
* SG: R3m
* DOS at the Fermi energy: 3.2 states/eV/f.u.
* ρ: 5.963 g/cm3

a = 4.3247 Å, b = 4.3247 Å, c = 7.4194 Å
α = 73.06°, β = 73.06°, γ = 60.00°
Last column: nearest neighbours and their distance in Å.
Fractional coordinates of all 4 atoms:
Sr: 0.6700 0.6700 0.9901  6 As 3.15-3.25
Tm: 0.4975 0.4975 0.5075  6 As 2.89-2.93
As: 0.0949 0.0949 0.7154  3 Tm 2.89, 1 As 2.99, 3 Sr 3.15
As: 0.2377 0.2377 0.2870  3 Tm 2.93, 1 As 2.99, 3 Sr 3.25

=====

<x>
First-principles (GGA-PBE) data for a geometry-optimized SrTmAs2 structure, as listed in the Alexandria database.

## Properties
* SG: R-3m
* DOS at the Fermi energy: 3.5 states/eV/f.u.
* ρ: 6.135 g/cm3

a = 4.2093 Å, b = 4.2093 Å, c = 7.5688 Å
α = 73.85°, β = 73.85°, γ = 60.00°
Last column: nearest neighbours and their distance in Å.
Fractional coordinates of all 4 atoms:
Sr: 0.5000 0.5000 0.5000  6 As 3.16
As: 0.2604 0.2604 0.2188  3 Tm 2.89, 3 Sr 3.16
As: 0.7396 0.7396 0.7812  3 Tm 2.89, 3 Sr 3.16
Tm: 0.0000 0.0000 0.0000  6 As 2.89

=====

Most stable to least stable, the ends of the list are <x> and <w>.

=====

<w>
First-principles (GGA-PBE) data for a geometry-optimized SrUAs2 structure, as listed in the Alexandria database.

## Properties
* SG: R3m
* DOS at the Fermi energy: 7.5 states/eV/f.u.
* ρ: 7.001 g/cm3

a = 4.2064 Å, b = 4.2064 Å, c = 7.7507 Å
α = 74.25°, β = 74.25°, γ = 60.00°
Last column: nearest neighbours and their distance in Å.
Fractional coordinates of all 4 atoms:
Sr: 0.4971 0.4971 0.5088  6 As 3.16-3.26
U: 0.6684 0.6684 0.9947  6 As 2.89-2.91
As: 0.0724 0.0724 0.7829  3 U 2.89, 3 Sr 3.16
As: 0.2621 0.2621 0.2137  3 U 2.91, 3 Sr 3.26

=====

<x>
First-principles (GGA-PBE) data for a geometry-optimized SrUAs2 structure, as listed in the Alexandria database.

## Properties
* SG: P4/mmm
* DOS at the Fermi energy: 2.9 states/eV/f.u.
* ρ: 8.117 g/cm3

a = 3.6030 Å, b = 3.6030 Å, c = 7.4932 Å
α = 90.00°, β = 90.00°, γ = 90.00°
Last column: nearest neighbours and their distance in Å.
Fractional coordinates of all 4 atoms:
Sr: 0.5000 0.5000 0.5000  8 As 3.30, 4 Sr 3.60
As: 0.0000 0.0000 0.7803  4 U 3.03, 1 As 3.29, 4 Sr 3.30
As: 0.0000 0.0000 0.2197  4 U 3.03, 1 As 3.29, 4 Sr 3.30
U: 0.5000 0.5000 0.0000  8 As 3.03

=====

Most stable to least stable, the ends of the list are <w> and <x>.

=====

<w>
First-principles (GGA-PBE) data for a geometry-optimized SrUAs2 structure, as listed in the Alexandria database.

## Properties
* SG: R-3m
* DOS at the Fermi energy: 7.3 states/eV/f.u.
* ρ: 7.117 g/cm3

a = 4.2356 Å, b = 4.2356 Å, c = 7.5472 Å
α = 73.70°, β = 73.70°, γ = 60.00°
Last column: nearest neighbours and their distance in Å.
Fractional coordinates of all 4 atoms:
Sr: 0.5000 0.5000 0.5000  6 As 3.17
As: 0.2612 0.2612 0.2164  3 U 2.89, 3 Sr 3.17
As: 0.7388 0.7388 0.7836  3 U 2.89, 3 Sr 3.17
U: 0.0000 0.0000 0.0000  6 As 2.89

=====

<x>
First-principles (GGA-PBE) data for a geometry-optimized SrUAs2 structure, as listed in the Alexandria database.

## Properties
* SG: Pnma
* DOS at the Fermi energy: 8.2 states/eV/f.u.
* ρ: 6.416 g/cm3

a = 4.4919 Å, b = 5.9481 Å, c = 18.4225 Å
α = 90.00°, β = 90.00°, γ = 90.00°
Last column: nearest neighbours and their distance in Å.
Fractional coordinates of all 16 atoms:
Sr: 0.7500 0.2502 0.5561  6 As 3.00-3.34
Sr: 0.2500 0.7498 0.4439  6 As 3.00-3.34
Sr: 0.7500 0.7502 0.9439  6 As 3.00-3.34
Sr: 0.2500 0.2498 0.0561  6 As 3.00-3.34
U: 0.7500 0.7450 0.1719  5 As 2.78-3.00
U: 0.7500 0.2450 0.3281  5 As 2.78-3.00
U: 0.2500 0.2550 0.8281  5 As 2.78-3.00
U: 0.2500 0.7550 0.6719  5 As 2.78-3.00
As: 0.7500 0.7499 0.5780  2 U 2.83, 2 Sr 3.00
As: 0.2500 0.2501 0.4220  2 U 2.83, 2 Sr 3.00
As: 0.7500 0.2499 0.9220  2 U 2.83, 2 Sr 3.00
As: 0.2500 0.7501 0.0780  2 U 2.83, 2 Sr 3.00
As: 0.2500 0.2506 0.6772  3 U 2.78-3.00
As: 0.7500 0.2494 0.1772  3 U 2.78-3.00
As: 0.2500 0.7506 0.8228  3 U 2.78-3.00
As: 0.7500 0.7494 0.3228  3 U 2.78-3.00

=====

Most stable to least stable, the ends of the list are <w> and <x>.

=====

<w>
First-principles (GGA-PBE) data for a geometry-optimized SrV3As structure, as listed in the Alexandria database.

## Properties
* SG: Pm-3m
* DOS at the Fermi energy: 9.2 states/eV/f.u.
* ρ: 5.325 g/cm3

a = 4.6158 Å, b = 4.6158 Å, c = 4.6158 Å
α = 90.00°, β = 90.00°, γ = 90.00°
Last column: nearest neighbours and their distance in Å.
Fractional coordinates of all 5 atoms:
Sr: 0.0000 0.0000 0.0000  6 V 2.31
As: 0.5000 0.5000 0.5000  12 V 3.26
V: 0.0000 0.5000 0.0000  2 Sr 2.31
V: 0.0000 0.0000 0.5000  2 Sr 2.31
V: 0.5000 0.0000 0.0000  2 Sr 2.31

=====

<x>
First-principles (GGA-PBE) data for a geometry-optimized SrV3As structure, as listed in the Alexandria database.

## Properties
* SG: Pm-3m
* DOS at the Fermi energy: 7.1 states/eV/f.u.
* ρ: 4.450 g/cm3

a = 4.9003 Å, b = 4.9003 Å, c = 4.9003 Å
α = 90.00°, β = 90.00°, γ = 90.00°
Last column: nearest neighbours and their distance in Å.
Fractional coordinates of all 5 atoms:
Sr: 0.5000 0.5000 0.5000  12 V 3.47
As: 0.0000 0.0000 0.0000  6 V 2.45
V: 0.0000 0.5000 0.0000  2 As 2.45
V: 0.0000 0.0000 0.5000  2 As 2.45
V: 0.5000 0.0000 0.0000  2 As 2.45

=====

Most stable to least stable, the ends of the list are <x> and <w>.

=====

<w>
First-principles (GGA-PBE) data for a geometry-optimized SrVAs3 structure, as listed in the Alexandria database.

## Properties
* SG: Pm-3m
* DOS at the Fermi energy: 7.7 states/eV/f.u.
* ρ: 3.651 g/cm3

a = 5.4876 Å, b = 5.4876 Å, c = 5.4876 Å
α = 90.00°, β = 90.00°, γ = 90.00°
Last column: nearest neighbours and their distance in Å.
Fractional coordinates of all 5 atoms:
Sr: 0.0000 0.0000 0.0000  6 As 2.74
As: 0.0000 0.5000 0.0000  2 Sr 2.74
As: 0.0000 0.0000 0.5000  2 Sr 2.74
As: 0.5000 0.0000 0.0000  2 Sr 2.74
V: 0.5000 0.5000 0.5000  12 As 3.88

=====

<x>
First-principles (GGA-PBE) data for a geometry-optimized SrVAs3 structure, as listed in the Alexandria database.

## Properties
* SG: Pm-3m
* DOS at the Fermi energy: 2.2 states/eV/f.u.
* ρ: 5.255 g/cm3

a = 4.8602 Å, b = 4.8602 Å, c = 4.8602 Å
α = 90.00°, β = 90.00°, γ = 90.00°
Last column: nearest neighbours and their distance in Å.
Fractional coordinates of all 5 atoms:
Sr: 0.5000 0.5000 0.5000  12 As 3.44
As: 0.0000 0.5000 0.0000  2 V 2.43
As: 0.0000 0.0000 0.5000  2 V 2.43
As: 0.5000 0.0000 0.0000  2 V 2.43
V: 0.0000 0.0000 0.0000  6 As 2.43

=====

Most stable to least stable, the ends of the list are <x> and <w>.

=====

<w>
First-principles (GGA-PBE) data for a geometry-optimized SrAs2W structure, as listed in the Alexandria database.

## Properties
* SG: Amm2
* DOS at the Fermi energy: 1.5 states/eV/f.u.
* ρ: 7.014 g/cm3

a = 4.8017 Å, b = 3.7449 Å, c = 5.8549 Å
α = 71.33°, β = 90.00°, γ = 90.00°
Last column: nearest neighbours and their distance in Å.
Fractional coordinates of all 4 atoms:
Sr: 0.0000 0.5922 0.4404  7 As 3.07-3.24
As: 0.0000 0.8725 0.8800  2 W 2.42
As: 0.5000 0.1920 0.2407  2 W 2.51
W: 0.5000 0.8433 0.9389  4 As 2.42-2.51

=====

<x>
First-principles (GGA-PBE) data for a geometry-optimized SrAs2W structure, as listed in the Alexandria database.

## Properties
* SG: Pmmm
* DOS at the Fermi energy: 1.2 states/eV/f.u.
* ρ: 8.766 g/cm3

a = 3.2929 Å, b = 3.2699 Å, c = 8.1031 Å
α = 66.17°, β = 90.00°, γ = 90.00°
Last column: nearest neighbours and their distance in Å.
Fractional coordinates of all 4 atoms:
Sr: 0.5000 0.2500 0.2500  8 As 3.23-3.24, 4 Sr 3.27-3.29
As: 0.0000 0.0538 0.9460  4 W 2.74, 1 As 2.91
As: 0.0000 0.4462 0.5540  4 W 2.74, 1 As 2.91
W: 0.5000 0.7500 0.7500  8 As 2.74

=====

Most stable to least stable, the ends of the list are <x> and <w>.

=====

<w>
First-principles (GGA-PBE) data for a geometry-optimized SrAs2W structure, as listed in the Alexandria database.

## Properties
* SG: R3m
* DOS at the Fermi energy: 0.5 states/eV/f.u.
* ρ: 7.840 g/cm3

a = 3.7706 Å, b = 3.7706 Å, c = 7.5669 Å
α = 75.59°, β = 75.59°, γ = 59.99°
Last column: nearest neighbours and their distance in Å.
Fractional coordinates of all 4 atoms:
Sr: 0.5039 0.5039 0.4887  6 As 3.02-3.15
As: 0.9331 0.9331 0.2007  3 W 2.59
As: 0.7324 0.7324 0.8030  3 W 2.63-2.64
W: 0.3306 0.3306 0.0076  6 As 2.59-2.64

=====

<x>
First-principles (GGA-PBE) data for a geometry-optimized SrAs2W structure, as listed in the Alexandria database.

## Properties
* SG: Immm
* DOS at the Fermi energy: 1.1 states/eV/f.u.
* ρ: 7.312 g/cm3

a = 5.8231 Å, b = 5.8231 Å, c = 5.8231 Å
α = 147.19°, β = 114.38°, γ = 75.33°
Last column: nearest neighbours and their distance in Å.
Fractional coordinates of all 4 atoms:
Sr: 0.7500 0.2500 0.5000  4 As 3.18, 2 Sr 3.29, 4 W 3.56
As: 0.0452 0.0452 0.0000  2 W 2.50
As: 0.4548 0.4548 0.0000  2 W 2.50
W: 0.2500 0.7500 0.5000  4 As 2.50

=====

Most stable to least stable, the ends of the list are <w> and <x>.